1.
# NdSmNO, optimized geometry, DFT PBE
# - Crystal system: orthorhombic
# - Excess energy over the best structure of this formula in the dataset: 0.0 meV/atom
data_NdSmNO
_chemical_formula_sum 'Nd2 Sm2 N2 O2'
_space_group_name_H-M_alt 'P m c 21'
_space_group_IT_number 26
_space_group_name_Hall 'P 2c -2'
_cell_length_a 4.112
_cell_length_b 7.113
_cell_length_c 5.082
_cell_angle_alpha 90.00
_cell_angle_beta 90.00
_cell_angle_gamma 90.00
loop_
_atom_site_label
_atom_site_type_symbol
_atom_site_fract_x
_atom_site_fract_y
_atom_site_fract_z
Nd1 Nd 0.000 0.166 0.000
Sm1 Sm 0.500 0.333 0.500
N1 N 0.500 0.340 0.999
O1 O 0.000 0.178 0.501

2.
# NdSmNO, optimized geometry, DFT PBE
# - Crystal system: orthorhombic
# - Excess energy over the best structure of this formula in the dataset: 23.3 meV/atom
data_NdSmNO
_chemical_formula_sum 'Nd4 Sm4 N4 O4'
_space_group_name_H-M_alt 'P b c m'
_space_group_IT_number 57
_space_group_name_Hall '-P 2c 2b'
_cell_length_a 8.324
_cell_length_b 6.853
_cell_length_c 5.129
_cell_angle_alpha 90.00
_cell_angle_beta 90.00
_cell_angle_gamma 90.00
loop_
_atom_site_label
_atom_site_type_symbol
_atom_site_fract_x
_atom_site_fract_y
_atom_site_fract_z
Nd1 Nd 0.124 0.071 0.250
Sm1 Sm 0.375 0.583 0.250
N1 N 0.377 0.574 0.750
O1 O 0.134 0.090 0.750

3.
# NdSmNO, optimized geometry, DFT PBE
# - Crystal system: tetragonal
# - Excess energy over the best structure of this formula in the dataset: 472.8 meV/atom
data_NdSmNO
_chemical_formula_sum 'Nd2 Sm2 N2 O2'
_space_group_name_H-M_alt 'P 4/n m m'
_space_group_IT_number 129
_cell_length_a 4.313
_cell_length_b 4.313
_cell_length_c 8.412
_cell_angle_alpha 90.00
_cell_angle_beta 90.00
_cell_angle_gamma 90.00
loop_
_space_group_symop_operation_xyz
'x,y,z'
'-x,-y,-z'
'-y+1/2,x,z'
'y+1/2,-x,-z'
'-x+1/2,-y+1/2,z'
'x+1/2,y+1/2,-z'
'y,-x+1/2,z'
'-y,x+1/2,-z'
'x+1/2,-y,-z'
'-x+1/2,y,z'
'-y,-x,-z'
'y,x,z'
'-x,y+1/2,-z'
'x,-y+1/2,z'
'y+1/2,x+1/2,-z'
'-y+1/2,-x+1/2,z'
loop_
_atom_site_label
_atom_site_type_symbol
_atom_site_fract_x
_atom_site_fract_y
_atom_site_fract_z
Nd1 Nd 0.250 0.250 0.117
Sm1 Sm 0.250 0.750 0.500
N1 N 0.250 0.250 0.629
O1 O 0.250 0.750 0.000

4.
# NdSnNO, optimized geometry, DFT PBE
# - Crystal system: orthorhombic
# - Excess energy over the best structure of this formula in the dataset: 0.0 meV/atom
data_NdSnNO
_chemical_formula_sum 'Nd4 Sn4 N4 O4'
_space_group_name_H-M_alt 'P c a 21'
_space_group_IT_number 29
_space_group_name_Hall 'P 2c -2ac'
_cell_length_a 5.887
_cell_length_b 8.442
_cell_length_c 5.716
_cell_angle_alpha 90.00
_cell_angle_beta 90.00
_cell_angle_gamma 90.00
loop_
_atom_site_label
_atom_site_type_symbol
_atom_site_fract_x
_atom_site_fract_y
_atom_site_fract_z
Nd1 Nd 0.010 0.131 0.000
Sn1 Sn 0.034 0.620 0.992
N1 N 0.110 0.598 0.613
O1 O 0.247 0.991 0.247

5.
# NdSnNO, optimized geometry, DFT PBE
# - Crystal system: orthorhombic
# - Excess energy over the best structure of this formula in the dataset: 185.6 meV/atom
data_NdSnNO
_chemical_formula_sum 'Nd2 Sn2 N2 O2'
_space_group_name_H-M_alt 'P m c 21'
_space_group_IT_number 26
_space_group_name_Hall 'P 2c -2'
_cell_length_a 3.509
_cell_length_b 6.334
_cell_length_c 6.180
_cell_angle_alpha 90.00
_cell_angle_beta 90.00
_cell_angle_gamma 90.00
loop_
_atom_site_label
_atom_site_type_symbol
_atom_site_fract_x
_atom_site_fract_y
_atom_site_fract_z
Nd1 Nd 0.000 0.118 0.000
Sn1 Sn 0.500 0.379 0.495
N1 N 0.000 0.240 0.365
O1 O 0.500 0.101 0.726

6.
# NdSnNO, optimized geometry, DFT PBE
# - Crystal system: orthorhombic
# - Excess energy over the best structure of this formula in the dataset: 268.4 meV/atom
data_NdSnNO
_chemical_formula_sum 'Nd4 Sn4 N4 O4'
_space_group_name_H-M_alt 'P c a 21'
_space_group_IT_number 29
_space_group_name_Hall 'P 2c -2ac'
_cell_length_a 6.877
_cell_length_b 7.204
_cell_length_c 5.806
_cell_angle_alpha 90.00
_cell_angle_beta 90.00
_cell_angle_gamma 90.00
loop_
_atom_site_label
_atom_site_type_symbol
_atom_site_fract_x
_atom_site_fract_y
_atom_site_fract_z
Nd1 Nd 0.085 0.159 0.000
Sn1 Sn 0.119 0.666 0.992
N1 N 0.085 0.121 0.592
O1 O 0.057 0.440 0.212

Number 1: magnetic moment 0.02 μB/cell. Number 2: magnetic moment 0.01 μB/cell. Number 3: magnetic moment 1.62 μB/cell. Number 4: magnetic moment 0.02 μB/cell. Number 5: magnetic moment 0.00 μB/cell. Number 6: magnetic moment 0.00 μB/cell.